The following is a DFT calculation (PBE-GGA) of Ba3SmTc2O9 after structural relaxation.

Computed properties:
Symmetry   P-3m1 (164)
Total energy   -111.3 eV for the cell shown
Formation energy (no corrections)   -54.50 kcal/mol of atoms
Spin magnetization   0.0 μB per formula unit

Cell: 5.9149 5.9149 7.2757 Å, 90.00 90.00 120.00°
Sites, in units of the cell vectors:
Ba 0.0000 0.0000 0.0000
Ba 0.3333 0.6667 0.6668
Ba 0.6667 0.3333 0.3332
Sm 0.0000 0.0000 0.5000
Tc 0.3333 0.6667 0.1483
Tc 0.6667 0.3333 0.8517
O 0.0000 0.5000 0.0000
O 0.1786 0.3571 0.3125
O 0.1786 0.8214 0.3125
O 0.3571 0.1786 0.6875
O 0.5000 0.0000 0.0000
O 0.5000 0.5000 0.0000
O 0.6429 0.8214 0.3125
O 0.8214 0.1786 0.6875
O 0.8214 0.6429 0.6875


The following is a DFT calculation (PBE-GGA) of Ba2SmTe3O12 after structural relaxation.

Computed properties:
Symmetry   R-3m (166)
Total energy   -109.4 eV for the cell shown
Formation energy (no corrections)   -40.87 kcal/mol of atoms
Spin magnetization   0.0 μB per formula unit

Cell: 7.2026 7.2026 7.2026 Å, 63.16 63.16 63.16°
Sites, in units of the cell vectors:
Ba 0.1242 0.1242 0.1242
Ba 0.8758 0.8758 0.8758
Sm 0.5000 0.5000 0.5000
Te 0.0000 0.5000 0.5000
Te 0.5000 0.0000 0.5000
Te 0.5000 0.5000 0.0000
O 0.0955 0.6208 0.6208
O 0.2148 0.2148 0.6080
O 0.2148 0.6080 0.2148
O 0.3792 0.3792 0.9045
O 0.3792 0.9045 0.3792
O 0.3920 0.7852 0.7852
O 0.6080 0.2148 0.2148
O 0.6208 0.0955 0.6208
O 0.6208 0.6208 0.0955
O 0.7852 0.3920 0.7852
O 0.7852 0.7852 0.3920
O 0.9045 0.3792 0.3792


The following is a DFT calculation (PBE-GGA) of Ba2SmThO6 after structural relaxation.

Computed properties:
Symmetry   P2_1/c (14)
Total energy   -151.7 eV for the cell shown
Formation energy (no corrections)   -69.46 kcal/mol of atoms
Spin magnetization   1.0 μB per formula unit

Cell: 6.3517 6.3940 11.0059 Å, 90.00 125.15 90.00°
Sites, in units of the cell vectors:
Ba 0.2393 0.0304 0.2495
Ba 0.2393 0.4696 0.7495
Ba 0.7607 0.5304 0.2505
Ba 0.7607 0.9696 0.7505
Sm 0.0000 0.0000 0.5000
Sm 0.0000 0.5000 0.0000
Th 0.5000 0.0000 0.0000
Th 0.5000 0.5000 0.5000
O 0.1722 0.2136 0.9538
O 0.1722 0.2864 0.4538
O 0.2381 0.7191 0.9523
O 0.2381 0.7809 0.4523
O 0.3374 0.0256 0.7524
O 0.3374 0.4744 0.2524
O 0.6626 0.5256 0.7476
O 0.6626 0.9744 0.2476
O 0.7619 0.2191 0.5477
O 0.7619 0.2809 0.0477
O 0.8278 0.7136 0.5462
O 0.8278 0.7864 0.0462


The following is a DFT calculation (PBE-GGA) of BaSmTi4O12 after structural relaxation.

Computed properties:
Symmetry   P4/mmm (123)
Total energy   -145.7 eV for the cell shown
Formation energy (no corrections)   -61.48 kcal/mol of atoms
Spin magnetization   3.0 μB per formula unit

Cell: 5.5367 5.5367 7.7964 Å, 90.00 90.00 90.00°
Sites, in units of the cell vectors:
Ba 0.0000 0.0000 0.0000
Sm 0.5000 0.5000 0.5000
Ti 0.0000 0.5000 0.2510
Ti 0.0000 0.5000 0.7490
Ti 0.5000 0.0000 0.2510
Ti 0.5000 0.0000 0.7490
O 0.0000 0.5000 0.0000
O 0.0000 0.5000 0.5000
O 0.2578 0.2578 0.2657
O 0.2578 0.2578 0.7343
O 0.2578 0.7422 0.2657
O 0.2578 0.7422 0.7343
O 0.5000 0.0000 0.0000
O 0.5000 0.0000 0.5000
O 0.7422 0.2578 0.2657
O 0.7422 0.2578 0.7343
O 0.7422 0.7422 0.2657
O 0.7422 0.7422 0.7343